# 1
# TaTi3Be2N

An optimized crystal structure of TaTi3Be2N (GGA-PBE, Alexandria).

The structure in POSCAR format:
```
TaTi3Be2N
1.0
-1.969 2.036 6.367
1.969 -2.036 6.367
1.969 2.036 -6.367
Ta Ti Be N
1 3 2 1
Cartesian
0.000 0.000 0.000 Ta
1.969 0.000 4.201 Ti
0.000 0.000 6.367 Ti
0.000 2.036 2.166 Ti
1.969 0.000 1.652 Be
0.000 2.036 4.715 Be
0.000 2.036 0.000 N
```

Summary:
Raw formation energy   -1.82 eV per formula unit
Uncorrected energy   -53.14 eV for the cell shown

***

# 2
# BiW

An optimized crystal structure of BiW (GGA-PBE, Alexandria).

The structure in POSCAR format:
```
BiW
1.0
10.880 0.000 0.000
-5.440 9.422 0.000
0.000 0.000 3.365
Bi W
6 6
Cartesian
-3.122 7.202 0.841 Bi
0.764 3.118 0.841 Bi
3.082 0.897 2.524 Bi
2.358 8.525 0.841 Bi
4.676 6.305 2.524 Bi
8.562 2.220 2.524 Bi
-1.809 4.703 0.841 W
-0.462 8.638 0.841 W
3.168 3.918 2.524 W
2.272 5.504 0.841 W
5.902 0.784 2.524 W
7.249 4.719 2.524 W
```

Summary:
Energy relative to the lowest polymorph listed for this composition   485.3 meV/atom
Formation energy   2.01 eV per formula unit
Uncorrected energy   -88.97 eV for the cell shown

***

# 3
# BaLuIn4

An optimized crystal structure of BaLuIn4 (GGA-PBE, Alexandria).

The structure in POSCAR format:
```
BaLuIn4
1.0
0.000 4.399 4.399
4.399 0.000 4.399
4.399 4.399 0.000
Ba Lu In
1 1 4
Cartesian
0.000 0.000 0.000 Ba
6.598 6.598 6.598 Lu
3.302 3.302 3.302 In
5.496 5.496 3.302 In
5.496 3.302 5.496 In
3.302 5.496 5.496 In
```

Summary:
Formation energy   -1.44 eV per formula unit
Uncorrected energy   -18.83 eV for the cell shown

***

# 4
# PPtBr4

An optimized crystal structure of PPtBr4 (GGA-PBE, Alexandria).

The structure in POSCAR format:
```
PPtBr4
1.0
0.000 4.252 4.252
4.252 0.000 4.252
4.252 4.252 0.000
P Pt Br
1 1 4
Cartesian
0.000 0.000 0.000 P
6.379 6.379 6.379 Pt
3.195 3.195 3.195 Br
5.310 5.310 3.195 Br
5.310 3.195 5.310 Br
3.195 5.310 5.310 Br
```

Summary:
Raw formation energy   8.93 eV per formula unit
Uncorrected energy   -9.21 eV for the cell shown

***

Question: What is the formula in the third record?
Answer: BaLuIn4